Record 1
Ta3OsW: optimized geometry, PBE-GGA.

Structure (POSCAR):
```
Ta3OsW
1.0
4.7731 0.0000 0.0000
0.0000 4.7731 0.0000
0.0000 0.0000 4.7731
Ta Os W
3 1 1
direct
0.0000 0.0000 0.5000
0.0000 0.5000 0.0000
0.5000 0.0000 0.0000
0.0000 0.0000 0.0000
0.5000 0.5000 0.5000
```

Distance to the lowest polymorph of the same formula, eV/atom: 1.871
E_form, eV/atom: 1.58



Record 2
Dy2HoTm5: optimized geometry, PBE-GGA.

Structure (POSCAR):
```
Dy2HoTm5
1.0
-3.4974 3.4974 4.9439
3.4974 -3.4974 4.9439
3.4974 3.4974 -4.9439
Dy Ho Tm
2 1 5
direct
0.0000 0.5000 0.5000
0.5000 0.0000 0.5000
0.0000 0.0000 0.0000
0.0000 0.0000 0.5000
0.0000 0.5000 0.0000
0.5000 0.0000 0.0000
0.5000 0.5000 0.0000
0.5000 0.5000 0.5000
```

Distance to the lowest polymorph of the same formula, eV/atom: 0.000
E_form, eV/atom: 0.02



Record 3
Li2CoCl: optimized geometry, PBE-GGA.

Structure (POSCAR):
```
Li2CoCl
1.0
3.1704 0.0000 0.0000
0.0000 1.6692 5.8166
0.0000 -1.6692 5.8166
Li Co Cl
2 1 1
direct
0.0000 0.0000 0.0000
0.5000 0.3549 0.3549
0.5000 0.6042 0.6042
0.0000 0.7838 0.7838
```

Distance to the lowest polymorph of the same formula, eV/atom: 0.129
Energy relative to the elements, uncorrected, meV per atom: -226



Record 4
Pr8SnAs5: optimized geometry, PBE-GGA.

Structure (POSCAR):
```
Pr8SnAs5
1.0
-4.6203 4.6203 4.5838
4.6203 -4.6203 4.5838
4.6203 4.6203 -4.5838
Pr Sn As
8 1 5
direct
0.0014 0.6096 0.7353
0.2445 0.4982 0.1195
0.3787 0.1250 0.8805
0.3904 0.1258 0.3919
0.5018 0.6213 0.7463
0.7339 0.9986 0.6081
0.8742 0.2661 0.2647
0.8750 0.7555 0.2537
0.0000 0.0000 0.0000
0.1269 0.2444 0.6247
0.2500 0.7500 0.5000
0.4978 0.8731 0.1175
0.6197 0.5022 0.3753
0.7556 0.3803 0.8825
```

E_form, eV/atom: -1.17



Record 5
VFeAg3: optimized geometry, PBE-GGA.

Structure (POSCAR):
```
VFeAg3
1.0
4.7866 0.0000 0.0000
0.0000 4.7866 0.0000
0.0000 0.0000 4.7866
V Fe Ag
1 1 3
direct
0.0000 0.0000 0.0000
0.5000 0.5000 0.5000
0.0000 0.5000 0.5000
0.5000 0.0000 0.5000
0.5000 0.5000 0.0000
```

Distance to the lowest polymorph of the same formula, eV/atom: 0.000
E_form, eV/atom: 1.22



Record 6
TlMo4: optimized geometry, PBE-GGA.

Structure (POSCAR):
```
TlMo4
1.0
4.9009 0.0000 0.0000
0.0000 4.9009 0.0000
0.0000 0.0000 4.9009
Tl Mo
1 4
direct
0.0000 0.0000 0.0000
0.0000 0.0000 0.5000
0.0000 0.5000 0.0000
0.5000 0.0000 0.0000
0.5000 0.5000 0.5000
```

Distance to the lowest polymorph of the same formula, eV/atom: 2.248
E_form, eV/atom: 2.98



Record 7
La3Se: optimized geometry, PBE-GGA.

Structure (POSCAR):
```
La3Se
1.0
3.9571 0.0000 0.0000
0.0000 5.7948 0.0000
-0.7329 0.0000 5.4047
La Se
3 1
direct
0.0000 0.0000 0.0000
0.3318 0.5000 0.7307
0.6682 0.5000 0.2693
0.5000 0.0000 0.5000
```

Energy relative to the elements, uncorrected, meV per atom: -600



Record 8
Zr2UMn: optimized geometry, PBE-GGA.

Structure (POSCAR):
```
Zr2UMn
1.0
3.1397 0.0000 0.0000
0.0000 3.1397 0.0000
0.0000 0.0000 8.0017
Zr U Mn
2 1 1
direct
0.0000 0.0000 0.1995
0.0000 0.0000 0.8005
0.5000 0.5000 0.5000
0.5000 0.5000 0.0000
```

Distance to the lowest polymorph of the same formula, eV/atom: 0.000
E_form, eV/atom: 0.17



Record 9
CoSi2Ag: optimized geometry, PBE-GGA.

Structure (POSCAR):
```
CoSi2Ag
1.0
-1.3667 2.4706 4.2100
1.3667 -2.4706 4.2100
1.3667 2.4706 -4.2100
Co Si Ag
1 2 1
direct
0.0000 0.0000 0.0000
0.2189 0.7189 0.5000
0.7811 0.2811 0.5000
0.5000 0.5000 0.0000
```

Distance to the lowest polymorph of the same formula, eV/atom: 0.270
Energy relative to the elements, uncorrected, meV per atom: 226



Record 10
CoTc2H2: optimized geometry, PBE-GGA.

Structure (POSCAR):
```
CoTc2H2
1.0
5.6880 0.0000 0.0000
0.0000 5.6880 0.0000
0.0000 0.0000 2.7929
Co Tc H
2 4 4
direct
0.0000 0.0000 0.0000
0.5000 0.5000 0.0000
0.1446 0.3554 0.5000
0.3554 0.8554 0.5000
0.6446 0.1446 0.5000
0.8554 0.6446 0.5000
0.1807 0.6807 0.0000
0.3193 0.1807 0.0000
0.6807 0.8193 0.0000
0.8193 0.3193 0.0000
```

Distance to the lowest polymorph of the same formula, eV/atom: 0.046



Record 11
DySe4: optimized geometry, PBE-GGA.

Structure (POSCAR):
```
DySe4
1.0
5.4929 0.0000 0.0000
0.0000 5.4929 0.0000
0.0000 0.0000 5.4929
Dy Se
1 4
direct
0.0000 0.0000 0.0000
0.0000 0.0000 0.5000
0.0000 0.5000 0.0000
0.5000 0.0000 0.0000
0.5000 0.5000 0.5000
```

Energy relative to the elements, uncorrected, meV per atom: 5



Record 12
CaVS2Cl: optimized geometry, PBE-GGA.

Structure (POSCAR):
```
CaVS2Cl
1.0
4.6468 0.0000 0.0000
0.0000 4.6468 0.0000
0.0000 0.0000 4.7409
Ca V S Cl
1 1 2 1
direct
0.0000 0.0000 0.0000
0.5000 0.5000 0.5000
0.0000 0.5000 0.5000
0.5000 0.0000 0.5000
0.5000 0.5000 0.0000
```

Distance to the lowest polymorph of the same formula, eV/atom: 0.000
Energy relative to the elements, uncorrected, meV per atom: -1096



Number 1: Fermi-level density of states 9.18 states/eV per cell, total energy -10.366 eV/atom, volume 21.75 Å³/atom. Number 2: Fermi-level density of states 11.36 states/eV per cell, total energy -4.493 eV/atom, volume 30.24 Å³/atom. Number 3: Fermi-level density of states 4.31 states/eV per cell, total energy -3.422 eV/atom, volume 15.39 Å³/atom. Number 4: Fermi-level density of states 12.49 states/eV per cell, total energy -5.843 eV/atom, volume 27.96 Å³/atom. Number 5: Fermi-level density of states 6.50 states/eV per cell, total energy -4.004 eV/atom, volume 21.93 Å³/atom. Number 6: Fermi-level density of states 8.63 states/eV per cell, total energy -6.158 eV/atom, volume 23.54 Å³/atom. Number 7: Fermi-level density of states 5.15 states/eV per cell, total energy -5.167 eV/atom, volume 30.98 Å³/atom. Number 8: Fermi-level density of states 7.36 states/eV per cell, total energy -9.216 eV/atom, volume 19.72 Å³/atom. Number 9: Fermi-level density of states 2.51 states/eV per cell, total energy -4.974 eV/atom, volume 14.21 Å³/atom. Number 10: Fermi-level density of states 5.84 states/eV per cell, total energy -6.683 eV/atom, volume 9.04 Å³/atom. Number 11: Fermi-level density of states 7.79 states/eV per cell, total energy -3.703 eV/atom, volume 33.15 Å³/atom. Number 12: Fermi-level density of states 3.95 states/eV per cell, total energy -5.340 eV/atom, volume 20.47 Å³/atom.